1.
This record from the Alexandria database describes crystalline SrAcRuN2 at its relaxed geometry. The functional is PBE.

M_tot, μB per cell: 2.0
E, eV/atom: -6.709
Formation energy without anion corrections, eV/atom: -0.37

Structure (CIF):
```
data_SrAcRuN2
_space_group_name_H-M_alt 'P 1'
_space_group_IT_number 1
_space_group_name_Hall 'P 1'
_cell_length_a 5.4055
_cell_length_b 5.7359
_cell_length_c 7.2819
_cell_angle_alpha 90.00
_cell_angle_beta 90.00
_cell_angle_gamma 90.00
loop_
_atom_site_label
_atom_site_fract_x
_atom_site_fract_y
_atom_site_fract_z
_atom_site_occupancy
Sr1 0.0000 0.0000 0.2500 1
Sr2 0.0000 0.0000 0.7500 1
Ac1 0.5000 0.5000 0.2500 1
Ac2 0.5000 0.5000 0.7500 1
Ru1 0.5000 0.0000 0.0000 1
Ru2 0.5000 0.0000 0.5000 1
N1 0.2742 0.2543 0.0000 1
N2 0.2742 0.7457 0.5000 1
N3 0.7258 0.2543 0.5000 1
N4 0.7258 0.7457 0.0000 1
```

2.
This record from the Alexandria database describes crystalline AcTb2RuN4 at its relaxed geometry. The functional is PBE.

M_tot, μB per cell: 0.0
E, eV/atom: -7.972
Formation energy without anion corrections, eV/atom: -0.98

Structure (CIF):
```
data_AcTb2RuN4
_space_group_name_H-M_alt 'P 1'
_space_group_IT_number 1
_space_group_name_Hall 'P 1'
_cell_length_a 6.2448
_cell_length_b 6.2448
_cell_length_c 11.7576
_cell_angle_alpha 90.00
_cell_angle_beta 90.00
_cell_angle_gamma 147.15
loop_
_atom_site_label
_atom_site_fract_x
_atom_site_fract_y
_atom_site_fract_z
_atom_site_occupancy
Ac1 0.1076 0.8924 0.7500 1
Ac2 0.8924 0.1076 0.2500 1
Tb1 0.3686 0.6314 0.5433 1
Tb2 0.3686 0.6314 0.9567 1
Tb3 0.6314 0.3686 0.0433 1
Tb4 0.6314 0.3686 0.4567 1
Ru1 0.1543 0.8457 0.2500 1
Ru2 0.8457 0.1543 0.7500 1
N1 0.0000 0.0000 0.0000 1
N2 0.0000 0.0000 0.5000 1
N3 0.2652 0.7348 0.1231 1
N4 0.2652 0.7348 0.3769 1
N5 0.4274 0.5726 0.7500 1
N6 0.5726 0.4274 0.2500 1
N7 0.7348 0.2652 0.6231 1
N8 0.7348 0.2652 0.8769 1
```

3.
This record from the Alexandria database describes crystalline Ac2Tc2RuN6 at its relaxed geometry. The functional is PBE.

M_tot, μB per cell: 0.0
E, eV/atom: -8.315
Formation energy without anion corrections, eV/atom: -0.30

Structure (CIF):
```
data_Ac2Tc2RuN6
_space_group_name_H-M_alt 'P 1'
_space_group_IT_number 1
_space_group_name_Hall 'P 1'
_cell_length_a 6.4100
_cell_length_b 6.4100
_cell_length_c 6.4100
_cell_angle_alpha 55.48
_cell_angle_beta 55.48
_cell_angle_gamma 55.48
loop_
_atom_site_label
_atom_site_fract_x
_atom_site_fract_y
_atom_site_fract_z
_atom_site_occupancy
Ac1 0.2187 0.2187 0.2187 1
Ac2 0.7813 0.7813 0.7813 1
Tc1 0.4288 0.4288 0.4288 1
Tc2 0.5712 0.5712 0.5712 1
Ru1 0.0000 0.0000 0.0000 1
N1 0.2326 0.2326 0.7635 1
N2 0.2326 0.7635 0.2326 1
N3 0.2365 0.7674 0.7674 1
N4 0.7635 0.2326 0.2326 1
N5 0.7674 0.2365 0.7674 1
N6 0.7674 0.7674 0.2365 1
```